Entry 1:
Computed, not measured: a relaxed structure of MnCrCd at the PBE level of DFT.

Cell: 4.351 4.351 4.351 Å, 60.00 60.00 60.00°
Last column: magnetic moment on the atom in μB.
Fractional positions:
Cr1 0.500 0.500 0.500  -3.42
Mn1 0.750 0.750 0.750  3.34
Cd1 0.000 0.000 0.000  0.01

## Properties
E (eV/atom): -5.878

***

Entry 2:
Computed, not measured: a relaxed structure of Rb3Pb11 at the PBE level of DFT.

Cell: 5.516 10.012 10.012 Å, 77.29 74.01 74.01°
Fractional positions:
Pb1 0.149 0.129 0.572
Pb2 0.500 0.336 0.664
Pb3 0.500 0.664 0.336
Pb4 0.851 0.428 0.871
Pb5 0.149 0.572 0.129
Pb6 0.638 0.725 0.000
Pb7 0.362 0.000 0.275
Pb8 0.000 0.500 0.500
Pb9 0.851 0.871 0.428
Pb10 0.362 0.275 0.000
Pb11 0.638 0.000 0.725
Rb1 0.287 0.713 0.713
Rb2 0.713 0.287 0.287
Rb3 0.000 0.000 0.000

## Properties
E (eV/atom): -3.211

***

Entry 3:
Computed, not measured: a relaxed structure of SrTl at the PBE level of DFT.

Cell: 6.679 6.679 9.147 Å, 70.50 70.50 35.24°
Fractional positions:
Tl1 0.659 0.659 0.659
Tl2 0.744 0.744 0.075
Tl3 0.033 0.033 0.383
Sr1 0.376 0.376 0.729
Sr2 0.048 0.048 0.980
Sr3 0.308 0.308 0.341

## Properties
E (eV/atom): -2.302